[1]
Entry from the Alexandria database: Ni2SnPIr at its PBEsol-relaxed geometry (meta-GGA SCAN).

Symmetry: P4/mmm, No. 123
DFT total energy, eV/atom: -29.756
Energy relative to the elements, meV/atom: 197
Crystal system: tetragonal

Unit cell a=4.1495 b=4.1495 c=4.4969 alpha=90.00 beta=90.00 gamma=90.00
With the nearest neighbours (Å) after each atom.
Positions (direct):
1 Ni 0.0000 0.5000 0.0000  2 P 2.07
2 Ni 0.5000 0.0000 0.0000  2 P 2.07
3 Sn 0.0000 0.0000 0.5000  4 Ir 2.93, 8 Ni 3.06
4 P 0.5000 0.5000 0.0000  4 Ni 2.07, 2 Ir 2.25
5 Ir 0.5000 0.5000 0.5000  2 P 2.25

[2]
Entry from the Alexandria database: Cs3Sb5S9 at its PBEsol-relaxed geometry (meta-GGA SCAN).

Symmetry: C2/m, No. 12
DFT total energy, eV/atom: -23.407
Crystal system: monoclinic
Formation energy from raw total energies, meV/atom: -678

Unit cell a=13.2448 b=13.2448 c=9.2031 alpha=95.58 beta=95.58 gamma=139.65
With the nearest neighbours (Å) after each atom.
Positions (direct):
1 Cs 0.0493 0.4828 0.7386  9 S 3.50-3.85
2 Cs 0.0795 0.9205 0.0000  10 S 3.57-3.96, 2 Sb 3.88, 1 Cs 3.95
3 Cs 0.4828 0.0493 0.7386  9 S 3.50-3.85
4 Cs 0.5172 0.9507 0.2614  9 S 3.50-3.85
5 Cs 0.9205 0.0795 0.0000  10 S 3.57-3.96, 2 Sb 3.88, 1 Cs 3.95
6 Cs 0.9507 0.5172 0.2614  9 S 3.50-3.85
7 Sb 0.0762 0.9238 0.5000  6 S 2.68-2.76
8 Sb 0.2220 0.4616 0.3398  3 S 2.42-2.50
9 Sb 0.3806 0.3806 0.6210  4 S 2.49-2.74
10 Sb 0.4237 0.5763 0.0000  6 S 2.67-2.78
11 Sb 0.4616 0.2220 0.3398  3 S 2.42-2.50
12 Sb 0.5384 0.7780 0.6602  3 S 2.42-2.50
13 Sb 0.5763 0.4237 0.0000  6 S 2.67-2.78
14 Sb 0.6194 0.6194 0.3790  4 S 2.49-2.74
15 Sb 0.7780 0.5384 0.6602  3 S 2.42-2.50
16 Sb 0.9238 0.0762 0.5000  6 S 2.68-2.76
17 S 0.0602 0.7472 0.6581  1 Sb 2.43
18 S 0.1336 0.1336 0.3755  3 Sb 2.68-2.71
19 S 0.1844 0.5008 0.0980  1 Sb 2.42
20 S 0.1937 0.3461 0.7303  3 Sb 2.49-2.76
21 S 0.2528 0.9398 0.3419  1 Sb 2.43
22 S 0.3082 0.6918 0.5000  2 Sb 2.50
23 S 0.3461 0.1937 0.7303  3 Sb 2.49-2.76
24 S 0.3722 0.3722 0.1278  3 Sb 2.67-2.74
25 S 0.4992 0.8156 0.9020  1 Sb 2.42
26 S 0.5008 0.1844 0.0980  1 Sb 2.42
27 S 0.6278 0.6278 0.8722  3 Sb 2.67-2.74
28 S 0.6539 0.8063 0.2697  3 Sb 2.49-2.76
29 S 0.6918 0.3082 0.5000  2 Sb 2.50
30 S 0.7472 0.0602 0.6581  1 Sb 2.43
31 S 0.8063 0.6539 0.2697  3 Sb 2.49-2.76
32 S 0.8156 0.4992 0.9020  1 Sb 2.42
33 S 0.8664 0.8664 0.6245  3 Sb 2.68-2.71
34 S 0.9398 0.2528 0.3419  1 Sb 2.43

[3]
Entry from the Alexandria database: PrNiSb2 at its PBEsol-relaxed geometry (meta-GGA SCAN).

Symmetry: P4/nmm, No. 129
DFT total energy, eV/atom: -34.307
Crystal system: tetragonal
Formation energy from raw total energies, meV/atom: -802

Unit cell a=4.3579 b=4.3579 c=9.6815 alpha=90.00 beta=90.00 gamma=90.00
With the nearest neighbours (Å) after each atom.
Positions (direct):
1 Pr 0.2500 0.2500 0.2401  4 Ni 3.19, 8 Sb 3.25-3.33
2 Pr 0.7500 0.7500 0.7599  4 Ni 3.19, 8 Sb 3.25-3.33
3 Ni 0.2500 0.7500 0.0000  4 Sb 2.53
4 Ni 0.7500 0.2500 0.0000  4 Sb 2.53
5 Sb 0.2500 0.2500 0.8676  4 Ni 2.53
6 Sb 0.2500 0.7500 0.5000  4 Sb 3.08, 4 Pr 3.33
7 Sb 0.7500 0.2500 0.5000  4 Sb 3.08, 4 Pr 3.33
8 Sb 0.7500 0.7500 0.1324  4 Ni 2.53

[4]
Entry from the Alexandria database: Te2WN2 at its PBEsol-relaxed geometry (meta-GGA SCAN).

Symmetry: P4/mmm, No. 123
DFT total energy, eV/atom: -31.299
Crystal system: tetragonal
Formation energy from raw total energies, meV/atom: 1255

Unit cell a=5.3134 b=5.3134 c=3.7694 alpha=90.00 beta=90.00 gamma=90.00
With the nearest neighbours (Å) after each atom.
Positions (direct):
1 Te 0.0000 0.5000 0.0000  2 W 2.66
2 Te 0.5000 0.0000 0.0000  2 W 2.66
3 W 0.0000 0.0000 0.0000  2 N 1.88
4 N 0.0000 0.0000 0.5000  2 W 1.88
5 N 0.5000 0.5000 0.5000  8 Te 3.26

| no. | V (Å³/f.u.) | DOS(E_F) (states/eV per atom) |
| --- | --- | --- |
| 1 | 77.4 | 1.10 |
| 2 | 501.5 | 0.00 |
| 3 | 91.9 | 0.65 |
| 4 | 106.4 | 0.49 |